Entry 1:
Compound: TaCoCuSn
Source: OQMD via LeMat-Bulk
Functional: PBE-GGA
Structure: relaxed

Output
The value obtained for the calculated total energy is -25.379 eV per formula unit. Its relative energy among the computed polymorphs is 0.294 eV per atom. The total magnetic moment is 4.42 Bohr magnetons per cell.

Cell and atoms, written as CIF:
```
data_TaCoCuSn
_chemical_formula_sum 'Ta4 Co4 Cu4 Sn4'
_space_group_name_H-M_alt 'F -4 3 m'
_space_group_IT_number 216
_space_group_name_Hall 'F -4 2 3'
_cell_length_a 6.291
_cell_length_b 6.291
_cell_length_c 6.291
_cell_angle_alpha 90.00
_cell_angle_beta 90.00
_cell_angle_gamma 90.00
loop_
_atom_site_label
_atom_site_fract_x
_atom_site_fract_y
_atom_site_fract_z
_atom_site_occupancy
Ta1 0.000 0.000 0.000 1
Co1 0.000 0.000 0.500 1
Cu1 0.250 0.250 0.750 1
Sn1 0.250 0.250 0.250 1
```

Entry 2:
Compound: TaCoCuSn
Source: OQMD via LeMat-Bulk
Functional: PBE-GGA
Structure: relaxed

Output
The value obtained for the calculated total energy is -25.627 eV per formula unit. Its relative energy among the computed polymorphs is 0.232 eV per atom. The total magnetic moment is 0.33 Bohr magnetons per cell.

Cell and atoms, written as CIF:
```
data_TaCoCuSn
_chemical_formula_sum 'Ta4 Co4 Cu4 Sn4'
_space_group_name_H-M_alt 'F -4 3 m'
_space_group_IT_number 216
_space_group_name_Hall 'F -4 2 3'
_cell_length_a 6.288
_cell_length_b 6.288
_cell_length_c 6.288
_cell_angle_alpha 90.00
_cell_angle_beta 90.00
_cell_angle_gamma 90.00
loop_
_atom_site_label
_atom_site_fract_x
_atom_site_fract_y
_atom_site_fract_z
_atom_site_occupancy
Ta1 0.000 0.000 0.000 1
Co1 0.250 0.250 0.750 1
Cu1 0.000 0.000 0.500 1
Sn1 0.250 0.250 0.250 1
```

Entry 3:
Compound: TaCoCuSn
Source: OQMD via LeMat-Bulk
Functional: PBE-GGA
Structure: relaxed

Output
The value obtained for the calculated total energy is -26.555 eV per formula unit. Its relative energy among the computed polymorphs is 0.000 eV per atom. The total magnetic moment is 0.07 Bohr magnetons per cell.

Cell and atoms, written as CIF:
```
data_TaCoCuSn
_chemical_formula_sum 'Ta4 Co4 Cu4 Sn4'
_space_group_name_H-M_alt 'F -4 3 m'
_space_group_IT_number 216
_space_group_name_Hall 'F -4 2 3'
_cell_length_a 6.213
_cell_length_b 6.213
_cell_length_c 6.213
_cell_angle_alpha 90.00
_cell_angle_beta 90.00
_cell_angle_gamma 90.00
loop_
_atom_site_label
_atom_site_fract_x
_atom_site_fract_y
_atom_site_fract_z
_atom_site_occupancy
Ta1 0.000 0.000 0.000 1
Co1 0.250 0.250 0.750 1
Cu1 0.250 0.250 0.250 1
Sn1 0.000 0.000 0.500 1
```

Q: Among the records above, which one has the highest relative energy among the computed polymorphs?
A: number 1